## SbTeWI2 (PBE)

Data for a geometry-optimized SbTeWI2 structure.

M_tot, μB/atom: 0.000
E_form (uncorrected), eV per formula unit: 3.6
Distance to the lowest polymorph of the same formula, kJ per mole of atoms: 0.0

a b c (Å): 5.2847 5.2847 5.5337
angles (deg): 90.00 90.00 90.00
Atoms (fractional coordinates):
I (0.0000, 0.5000, 0.0000)
I (0.5000, 0.0000, 0.0000)
Sb (0.0000, 0.0000, 0.5000)
Te (0.5000, 0.5000, 0.5000)
W (0.0000, 0.0000, 0.0000)


## TmRhS (PBE)

Data for a geometry-optimized TmRhS structure.

M_tot, μB/atom: 0.000
E_form (uncorrected), eV per formula unit: -3.7

a b c (Å): 3.5399 4.1342 4.1342
angles (deg): 120.00 90.00 90.00
Atoms (fractional coordinates):
S (0.1706, 0.3333, 0.6667)
Tm (0.6663, 0.6667, 0.3333)
Rh (0.1631, 0.0000, 0.0000)


## Ca3Th2PaN6 (PBE)

Data for a geometry-optimized Ca3Th2PaN6 structure.

M_tot, μB/atom: 0.000
E_form (uncorrected), eV per formula unit: -17.3

a b c (Å): 6.2933 6.2933 6.1305
angles (deg): 99.83 99.83 120.03
Atoms (fractional coordinates):
Ca (0.1632, 0.8368, 0.5000)
Ca (0.8368, 0.1632, 0.5000)
Ca (0.5000, 0.5000, 0.5000)
Th (0.3331, 0.6669, 0.0000)
Th (0.6669, 0.3331, 0.0000)
Pa (0.0000, 0.0000, 0.0000)
N (0.9267, 0.6095, 0.7796)
N (0.7552, 0.7552, 0.2178)
N (0.0733, 0.3905, 0.2204)
N (0.6095, 0.9267, 0.7796)
N (0.2448, 0.2448, 0.7822)
N (0.3905, 0.0733, 0.2204)


## CrRh3 (PBE)

Data for a geometry-optimized CrRh3 structure.

M_tot, μB/atom: 0.000
Formation energy from the elements, eV/atom: -0.075

a b c (Å): 2.6997 2.6997 8.5966
angles (deg): 90.00 90.00 120.00
Atoms (fractional coordinates):
Cr (0.0000, 0.0000, 0.0000)
Rh (0.0000, 0.0000, 0.5000)
Rh (0.3333, 0.6667, 0.2340)
Rh (0.3333, 0.6667, 0.7660)


## ZnFeTe2 (PBE)

Data for a geometry-optimized ZnFeTe2 structure.

M_tot, μB/atom: 0.725
E_form (uncorrected), eV per formula unit: 1.3

a b c (Å): 5.7777 5.0153 4.1931
angles (deg): 73.80 76.03 118.36
Atoms (fractional coordinates):
Fe (0.5000, 0.5000, 0.0000)
Te (0.0000, 0.0000, 0.0000)
Te (0.5000, 0.0000, 0.5000)
Zn (0.0000, 0.5000, 0.5000)


## CaZrAgPt (PBE)

Data for a geometry-optimized CaZrAgPt structure.

M_tot, μB/atom: 0.000
Formation energy from the elements, eV/atom: -0.462

a b c (Å): 4.8945 4.8945 4.8945
angles (deg): 60.00 60.00 60.00
Atoms (fractional coordinates):
Zr (0.0000, 0.0000, 0.0000)
Ca (0.5000, 0.5000, 0.5000)
Ag (0.2500, 0.2500, 0.2500)
Pt (0.7500, 0.7500, 0.7500)


## HfTiHg (PBE)

Data for a geometry-optimized HfTiHg structure.

M_tot, μB/atom: 0.548
Distance to the lowest polymorph of the same formula, kJ per mole of atoms: 15.4
Formation energy from the elements, eV/atom: 0.172

a b c (Å): 3.1353 4.7776 4.7776
angles (deg): 120.00 90.00 90.00
Atoms (fractional coordinates):
Hf (0.9999, 0.0000, 0.0000)
Hg (0.5007, 0.6667, 0.3333)
Ti (0.4995, 0.3333, 0.6667)


## La3NdHo6 (PBE)

Data for a geometry-optimized La3NdHo6 structure.

M_tot, μB/atom: 0.000
Distance to the lowest polymorph of the same formula, kJ per mole of atoms: 7.7
Formation energy from the elements, eV/atom: 0.294

a b c (Å): 9.9695 9.9695 6.9384
angles (deg): 44.08 44.08 60.00
Atoms (fractional coordinates):
La (0.3506, 0.3506, 0.9482)
La (0.5994, 0.5994, 0.2018)
La (0.1020, 0.1020, 0.6940)
Nd (0.8504, 0.8504, 0.4488)
Ho (0.9249, 0.6020, 0.1987)
Ho (0.2744, 0.9249, 0.1987)
Ho (0.6020, 0.2744, 0.1987)
Ho (0.0975, 0.4247, 0.7037)
Ho (0.7741, 0.0975, 0.7037)
Ho (0.4247, 0.7741, 0.7037)


## Li2ZnPt (PBE)

Data for a geometry-optimized Li2ZnPt structure.

M_tot, μB/atom: 0.000
Formation energy from the elements, eV/atom: -0.461

a b c (Å): 2.8547 4.5932 4.7059
angles (deg): 102.30 107.66 90.00
Atoms (fractional coordinates):
Li (0.0049, 0.9896, 0.0099)
Li (0.2420, 0.7506, 0.4840)
Pt (0.4984, 0.4827, 0.9968)
Zn (0.7547, 0.2771, 0.5094)


## Li5Tl2CdPb2 (PBE)

Data for a geometry-optimized Li5Tl2CdPb2 structure.

M_tot, μB/atom: 0.000
Formation energy from the elements, eV/atom: -0.135

a b c (Å): 3.7425 11.0634 11.0634
angles (deg): 90.00 90.00 90.00
Atoms (fractional coordinates):
Li (0.5000, 0.2006, 0.0164)
Li (0.5000, 0.7994, 0.9836)
Li (0.5000, 0.0164, 0.7994)
Li (0.5000, 0.7006, 0.4836)
Li (0.5000, 0.9836, 0.2006)
Li (0.5000, 0.2994, 0.5164)
Li (0.5000, 0.5164, 0.7006)
Li (0.5000, 0.4836, 0.2994)
Li (0.5000, 0.5000, 0.0000)
Li (0.5000, 0.0000, 0.5000)
Tl (0.0000, 0.1370, 0.6370)
Tl (0.0000, 0.8630, 0.3630)
Tl (0.0000, 0.6370, 0.8630)
Tl (0.0000, 0.3630, 0.1370)
Cd (0.0000, 0.0000, 0.0000)
Cd (0.0000, 0.5000, 0.5000)
Pb (0.0000, 0.6667, 0.1667)
Pb (0.0000, 0.3333, 0.8333)
Pb (0.0000, 0.1667, 0.3333)
Pb (0.0000, 0.8333, 0.6667)


## CeSnHgSb (PBE)

Data for a geometry-optimized CeSnHgSb structure.

M_tot, μB/atom: 0.216
E_form (uncorrected), eV per formula unit: -1.4
Distance to the lowest polymorph of the same formula, kJ per mole of atoms: 17.7

a b c (Å): 5.3730 5.3730 5.3730
angles (deg): 60.00 60.00 60.00
Atoms (fractional coordinates):
Sb (0.5000, 0.5000, 0.5000)
Hg (0.0000, 0.0000, 0.0000)
Ce (0.7500, 0.7500, 0.7500)
Sn (0.2500, 0.2500, 0.2500)


## LiNbHgP2 (PBE)

Data for a geometry-optimized LiNbHgP2 structure.

M_tot, μB/atom: 0.411
Formation energy from the elements, eV/atom: 1.022

a b c (Å): 4.9632 4.2859 4.9632
angles (deg): 90.00 90.00 90.00
Atoms (fractional coordinates):
P (0.0000, 0.0000, 0.5000)
P (0.5000, 0.0000, 0.0000)
Nb (0.5000, 0.5000, 0.5000)
Hg (0.0000, 0.0000, 0.0000)
Li (0.0000, 0.5000, 0.0000)


## ScAl2Hg (PBE)

Data for a geometry-optimized ScAl2Hg structure.

M_tot, μB/atom: 0.000
Formation energy from the elements, eV/atom: -0.339

a b c (Å): 4.2401 4.2401 4.1667
angles (deg): 90.00 90.00 90.00
Atoms (fractional coordinates):
Sc (0.0000, 0.5000, 0.5000)
Hg (0.5000, 0.0000, 0.5000)
Al (0.0000, 0.0000, 0.0000)
Al (0.5000, 0.5000, 0.0000)


## SmGa2Au6 (PBE)

Data for a geometry-optimized SmGa2Au6 structure.

M_tot, μB/atom: 0.000
Distance to the lowest polymorph of the same formula, kJ per mole of atoms: 6.1
Formation energy from the elements, eV/atom: -0.292

a b c (Å): 5.6573 5.6573 7.2392
angles (deg): 90.00 90.00 120.00
Atoms (fractional coordinates):
Sm (0.0000, 0.0000, 0.0000)
Ga (0.3333, 0.6667, 0.5000)
Ga (0.6667, 0.3333, 0.5000)
Au (0.5002, 0.0000, 0.2032)
Au (0.4998, 0.4998, 0.2032)
Au (0.0000, 0.5002, 0.2032)
Au (0.5002, 0.5002, 0.7968)
Au (0.0000, 0.4998, 0.7968)
Au (0.4998, 0.0000, 0.7968)


## Sb2Pd8Se (PBE)

Data for a geometry-optimized Sb2Pd8Se structure.

M_tot, μB/atom: 0.000
E_form (uncorrected), eV per formula unit: -3.6

a b c (Å): 4.3356 6.3948 7.6227
angles (deg): 110.89 106.52 90.00
Atoms (fractional coordinates):
Sb (0.8212, 0.3249, 0.6425)
Sb (0.1788, 0.6751, 0.3575)
Pd (0.4078, 0.5625, 0.8156)
Pd (0.6654, 0.9400, 0.3308)
Pd (0.8093, 0.7274, 0.6187)
Pd (0.9761, 0.2088, 0.9522)
Pd (0.1907, 0.2726, 0.3813)
Pd (0.3346, 0.0600, 0.6692)
Pd (0.5922, 0.4375, 0.1844)
Pd (0.0239, 0.7912, 0.0478)
Se (0.5000, 0.0000, 0.0000)


## Ti2HgIr (PBE)

Data for a geometry-optimized Ti2HgIr structure.

M_tot, μB/atom: 0.276
Distance to the lowest polymorph of the same formula, kJ per mole of atoms: 0.0
Formation energy from the elements, eV/atom: -0.427

a b c (Å): 2.9419 2.9419 7.8656
angles (deg): 90.00 90.00 90.00
Atoms (fractional coordinates):
Ir (0.5000, 0.5000, 0.0000)
Hg (0.5000, 0.5000, 0.5000)
Ti (0.0000, 0.0000, 0.7816)
Ti (0.0000, 0.0000, 0.2184)


## LiErScCd (PBE)

Data for a geometry-optimized LiErScCd structure.

M_tot, μB/atom: 0.000
Formation energy from the elements, eV/atom: -0.095

a b c (Å): 5.0909 5.0909 5.0909
angles (deg): 60.00 60.00 60.00
Atoms (fractional coordinates):
Sc (0.5000, 0.5000, 0.5000)
Cd (0.7500, 0.7500, 0.7500)
Li (0.2500, 0.2500, 0.2500)
Er (0.0000, 0.0000, 0.0000)


## LaTePd3 (PBE)

Data for a geometry-optimized LaTePd3 structure.

M_tot, μB/atom: 0.000
E_form (uncorrected), eV per formula unit: 2.0
Distance to the lowest polymorph of the same formula, kJ per mole of atoms: 73.5

a b c (Å): 5.1565 5.1565 5.1565
angles (deg): 90.00 90.00 90.00
Atoms (fractional coordinates):
Te (0.5000, 0.5000, 0.5000)
Pd (0.0000, 0.5000, 0.0000)
Pd (0.0000, 0.0000, 0.5000)
Pd (0.5000, 0.0000, 0.0000)
La (0.0000, 0.0000, 0.0000)


## MgBe (PBE)

Data for a geometry-optimized MgBe structure.

M_tot, μB/atom: 0.000
Distance to the lowest polymorph of the same formula, kJ per mole of atoms: 22.1
Formation energy from the elements, eV/atom: 0.442

a b c (Å): 8.7195 8.7195 8.7195
angles (deg): 19.18 19.18 19.18
Atoms (fractional coordinates):
Be (0.9874, 0.9874, 0.9874)
Be (0.2626, 0.2626, 0.2626)
Mg (0.5124, 0.5124, 0.5124)
Mg (0.7376, 0.7376, 0.7376)


## CaMnTe2 (PBE)

Data for a geometry-optimized CaMnTe2 structure.

M_tot, μB/atom: 1.164
E_form (uncorrected), eV per formula unit: -2.4
Distance to the lowest polymorph of the same formula, kJ per mole of atoms: 22.7

a b c (Å): 3.8819 4.1268 7.6129
angles (deg): 74.86 90.00 90.00
Atoms (fractional coordinates):
Ca (0.5000, 0.2500, 0.2500)
Te (0.0000, 0.8315, 0.9948)
Te (0.0000, 0.6685, 0.5052)
Mn (0.5000, 0.7500, 0.7500)


## CaIn2P (PBE)

Data for a geometry-optimized CaIn2P structure.

M_tot, μB/atom: 0.000
Formation energy from the elements, eV/atom: -0.321

a b c (Å): 4.2900 4.2938 5.2519
angles (deg): 90.00 90.00 90.00
Atoms (fractional coordinates):
Ca (0.0000, 0.5000, 0.5000)
In (0.0000, 0.0000, 0.0000)
In (0.5000, 0.5000, 0.0000)
P (0.5000, 0.0000, 0.5000)


## Er7CdRu4 (PBE)

Data for a geometry-optimized Er7CdRu4 structure.

M_tot, μB/atom: 0.000
Formation energy from the elements, eV/atom: -0.133

a b c (Å): 5.3944 8.2537 7.2736
angles (deg): 75.97 68.23 70.93
Atoms (fractional coordinates):
Er (0.7851, 0.8770, 0.5528)
Er (0.2149, 0.1230, 0.4472)
Er (0.0748, 0.6279, 0.2224)
Er (0.9252, 0.3721, 0.7776)
Er (0.3196, 0.6317, 0.7291)
Er (0.5000, 0.0000, 0.0000)
Er (0.6804, 0.3683, 0.2709)
Cd (0.0000, 0.0000, 0.0000)
Ru (0.5647, 0.2228, 0.6477)
Ru (0.4353, 0.7772, 0.3523)
Ru (0.6987, 0.6517, 0.9508)
Ru (0.3013, 0.3483, 0.0492)


## LiPmDyCo (PBE)

Data for a geometry-optimized LiPmDyCo structure.

M_tot, μB/atom: 0.000
Formation energy from the elements, eV/atom: -0.026

a b c (Å): 4.9280 4.9280 4.9280
angles (deg): 60.00 60.00 60.00
Atoms (fractional coordinates):
Pm (0.0000, 0.0000, 0.0000)
Co (0.2500, 0.2500, 0.2500)
Li (0.7500, 0.7500, 0.7500)
Dy (0.5000, 0.5000, 0.5000)


## Pm3Ag3GeO8 (PBE)

Data for a geometry-optimized Pm3Ag3GeO8 structure.

M_tot, μB/atom: 0.000
E_form (uncorrected), eV per formula unit: -28.0

a b c (Å): 6.9922 6.9899 6.8746
angles (deg): 120.64 90.00 120.01
Atoms (fractional coordinates):
Pm (0.5000, 0.0000, 0.5000)
Pm (0.5000, 0.5000, 0.5000)
Pm (0.0000, 0.5000, 0.5000)
Ag (0.0000, 0.0000, 0.0000)
Ag (0.0000, 0.5000, 0.0000)
Ag (0.5000, 0.5000, 0.0000)
Ge (0.0000, 0.0000, 0.5000)
O (0.2700, 0.5400, 0.3106)
O (0.7300, 0.4600, 0.6894)
O (0.7965, 0.5931, 0.3104)
O (0.2035, 0.4069, 0.6896)
O (0.7963, 0.0132, 0.3102)
O (0.2037, 0.9868, 0.6898)
O (0.2169, 0.0132, 0.3102)
O (0.7831, 0.9868, 0.6898)


## Tb5Te5Pb (PBE)

Data for a geometry-optimized Tb5Te5Pb structure.

M_tot, μB/atom: 0.000
E_form (uncorrected), eV per formula unit: -13.9

a b c (Å): 6.2111 7.5906 8.7498
angles (deg): 106.67 90.00 114.15
Atoms (fractional coordinates):
Tb (0.8362, 0.6725, 0.1701)
Tb (0.8361, 0.6723, 0.6673)
Tb (0.5000, 0.0000, 0.0000)
Tb (0.1639, 0.3277, 0.3327)
Tb (0.1638, 0.3275, 0.8299)
Te (0.6652, 0.3303, 0.3371)
Te (0.6661, 0.3323, 0.8302)
Te (0.0000, 0.0000, 0.5000)
Te (0.3339, 0.6677, 0.1698)
Te (0.3348, 0.6697, 0.6629)
Pb (0.0000, 0.0000, 0.0000)


## NaLi2MnN (PBE)

Data for a geometry-optimized NaLi2MnN structure.

M_tot, μB/atom: 0.570
E_form (uncorrected), eV per formula unit: -0.5

a b c (Å): 4.3624 4.3624 3.7704
angles (deg): 90.00 90.00 90.00
Atoms (fractional coordinates):
Na (0.5000, 0.5000, 0.5000)
Mn (0.0000, 0.0000, 0.5000)
Li (0.0000, 0.5000, 0.0000)
Li (0.5000, 0.0000, 0.0000)
N (0.0000, 0.0000, 0.0000)